(1)
# MnFeSe2 GGA-PBEsol optimized geometry
data_MnFeSe2
_symmetry_space_group_name_H-M 'C 1 m 1'
_symmetry_Int_Tables_number 8
_cell_length_a 7.471
_cell_length_b 3.161
_cell_length_c 6.007
_cell_angle_alpha 90.00
_cell_angle_beta 102.36
_cell_angle_gamma 90.00
loop_
_symmetry_equiv_pos_as_xyz
'x,y,z'
'x,-y,z'
'x+1/2,y+1/2,z'
'x+1/2,-y+1/2,z'
loop_
_atom_site_label
_atom_site_type_symbol
_atom_site_fract_x
_atom_site_fract_y
_atom_site_fract_z
Mn1 Mn 0.000 0.000 0.000
Fe1 Fe 0.245 0.500 0.178
Se1 Se 0.259 0.000 0.826
Se2 Se 0.487 0.000 0.342
# E_tot (Ry/atom): -0.49101
# Crystal system: monoclinic
# Size of the total moment (μB/cell): 9.754

***

(2)
# Mn5Fe5Si6 GGA-PBEsol optimized geometry
data_Mn5Fe5Si6
_symmetry_space_group_name_H-M 'A m m 2'
_symmetry_Int_Tables_number 38
_cell_length_a 4.571
_cell_length_b 11.683
_cell_length_c 6.643
_cell_angle_alpha 90.00
_cell_angle_beta 90.00
_cell_angle_gamma 90.00
loop_
_symmetry_equiv_pos_as_xyz
'x,y,z'
'-x,-y,z'
'-x,y,z'
'x,-y,z'
'x,y+1/2,z+1/2'
'-x,-y+1/2,z+1/2'
'-x,y+1/2,z+1/2'
'x,-y+1/2,z+1/2'
loop_
_atom_site_label
_atom_site_type_symbol
_atom_site_fract_x
_atom_site_fract_y
_atom_site_fract_z
Mn1 Mn 0.000 0.000 0.000
Mn2 Mn 0.250 0.164 0.266
Fe1 Fe 0.000 0.124 0.648
Fe2 Fe 0.500 0.000 0.529
Fe3 Fe 0.500 0.125 0.893
Si1 Si 0.000 0.000 0.383
Si2 Si 0.000 0.201 0.963
Si3 Si 0.500 0.000 0.158
Si4 Si 0.500 0.195 0.574
# E_tot (Ry/atom): -0.61670
# Crystal system: orthorhombic
# Size of the total moment (μB/cell): 22.997

***

(3)
# MnFe3Si8 GGA-PBEsol optimized geometry
data_MnFe3Si8
_symmetry_space_group_name_H-M 'P 4/m m m'
_symmetry_Int_Tables_number 123
_symmetry_space_group_name_Hall '-P 4 2'
_cell_length_a 2.687
_cell_length_b 2.687
_cell_length_c 20.421
_cell_angle_alpha 90.00
_cell_angle_beta 90.00
_cell_angle_gamma 90.00
loop_
_atom_site_label
_atom_site_type_symbol
_atom_site_fract_x
_atom_site_fract_y
_atom_site_fract_z
Mn1 Mn 0.000 0.000 0.000
Fe1 Fe 0.000 0.000 0.251
Fe2 Fe 0.000 0.000 0.500
Si1 Si 0.500 0.500 0.068
Si2 Si 0.500 0.500 0.182
Si3 Si 0.500 0.500 0.318
Si4 Si 0.500 0.500 0.432
# E_tot (Ry/atom): -0.54135
# Crystal system: tetragonal
# Size of the total moment (μB/cell): 0.284

***

(4)
# MnFeSi4 GGA-PBEsol optimized geometry
data_MnFeSi4
_symmetry_space_group_name_H-M 'P 4/m m m'
_symmetry_Int_Tables_number 123
_symmetry_space_group_name_Hall '-P 4 2'
_cell_length_a 2.699
_cell_length_b 2.699
_cell_length_c 10.215
_cell_angle_alpha 90.00
_cell_angle_beta 90.00
_cell_angle_gamma 90.00
loop_
_atom_site_label
_atom_site_type_symbol
_atom_site_fract_x
_atom_site_fract_y
_atom_site_fract_z
Mn1 Mn 0.000 0.000 0.000
Fe1 Fe 0.000 0.000 0.500
Si1 Si 0.500 0.500 0.135
Si2 Si 0.500 0.500 0.364
# E_tot (Ry/atom): -0.54437
# Crystal system: tetragonal
# Size of the total moment (μB/cell): 0.357

***

(5)
# TaMnFe2 GGA-PBEsol optimized geometry
data_TaMnFe2
_symmetry_space_group_name_H-M 'P 4 m m'
_symmetry_Int_Tables_number 99
_cell_length_a 2.974
_cell_length_b 2.974
_cell_length_c 5.616
_cell_angle_alpha 90.00
_cell_angle_beta 90.00
_cell_angle_gamma 90.00
loop_
_symmetry_equiv_pos_as_xyz
'x,y,z'
'-y,x,z'
'-x,-y,z'
'y,-x,z'
'-x,y,z'
'y,x,z'
'x,-y,z'
'-y,-x,z'
loop_
_atom_site_label
_atom_site_type_symbol
_atom_site_fract_x
_atom_site_fract_y
_atom_site_fract_z
Ta1 Ta 0.000 0.000 0.000
Mn1 Mn 0.500 0.500 0.266
Fe1 Fe 0.000 0.000 0.500
Fe2 Fe 0.500 0.500 0.732
# E_tot (Ry/atom): -0.73942
# Formation energy from the elements (eV per atom): 0.00
# Crystal system: tetragonal
# Size of the total moment (μB/cell): 4.566

***

(6)
# TaMnFe2 GGA-PBEsol optimized geometry
data_TaMnFe2
_symmetry_space_group_name_H-M 'C 1 2/m 1'
_symmetry_Int_Tables_number 12
_cell_length_a 4.990
_cell_length_b 8.142
_cell_length_c 2.603
_cell_angle_alpha 90.00
_cell_angle_beta 109.18
_cell_angle_gamma 90.00
loop_
_symmetry_equiv_pos_as_xyz
'x,y,z'
'-x,-y,-z'
'-x,y,-z'
'x,-y,z'
'x+1/2,y+1/2,z'
'-x+1/2,-y+1/2,-z'
'-x+1/2,y+1/2,-z'
'x+1/2,-y+1/2,z'
loop_
_atom_site_label
_atom_site_type_symbol
_atom_site_fract_x
_atom_site_fract_y
_atom_site_fract_z
Ta1 Ta 0.000 0.000 0.000
Mn1 Mn 0.000 0.500 0.000
Fe1 Fe 0.250 0.250 0.500
# E_tot (Ry/atom): -0.73146
# Formation energy from the elements (eV per atom): 0.11
# Crystal system: monoclinic
# Size of the total moment (μB/cell): 9.481